A crystal of Ti2Si2Cl relaxed with PBEsol. Source: Alexandria, functional SCAN.

Computed properties:
ρ, g cm⁻³: 3.96
E_form (uncorrected), eV per atom: -0.524

Geometry as POSCAR:
```
Ti2Si2Cl
1.0
-1.7245 -1.2380 -2.5690
5.3547 1.1443 -4.1458
2.4222 -6.2730 1.3971
Ti Si Cl
4 4 2
Cartesian
3.7349 -4.8009 -0.1935
1.7257 -1.8349 -0.2741
6.0512 -3.2938 -2.4746
4.0420 -0.3278 -2.5553
4.5874 -5.4345 -2.6220
1.2772 -4.3678 -0.9141
1.4650 -0.9323 -2.6957
4.7752 -1.9990 -4.4037
3.8884 -2.5644 -1.3744
0.0000 0.0000 0.0000
```